VASP calculation (GGA-PBE) on a relaxed ZrTeAu crystal.

a = 7.600 Å, b = 3.778 Å, c = 10.956 Å
α = 90.00°, β = 116.37°, γ = 90.00°
Atoms (fractional coordinates):
Te1 0.299 0.000 0.932
Te2 0.299 0.500 0.432
Te3 0.841 0.000 0.203
Te4 0.841 0.500 0.703
Au1 0.998 0.000 0.495
Au2 0.998 0.500 0.995
Au3 0.575 0.000 0.758
Au4 0.575 0.500 0.258
Zr1 0.625 0.000 0.488
Zr2 0.625 0.500 0.988
Zr3 0.234 0.000 0.195
Zr4 0.234 0.500 0.695

Properties
Raw formation energy   -1.51 eV per formula unit
Energy above the lowest structure with this stoichiometry   44 meV/atom
Density of states at the Fermi level   7.5 states/eV per cell

=====

VASP calculation (GGA-PBE) on a relaxed Ac12LaNi6 crystal.

a = 9.338 Å, b = 9.338 Å, c = 9.338 Å
α = 109.47°, β = 109.47°, γ = 109.47°
Atoms (fractional coordinates):
Ac1 0.316 0.132 0.817
Ac2 0.316 0.499 0.183
Ac3 0.684 0.501 0.817
Ac4 0.684 0.868 0.183
Ac5 0.132 0.817 0.316
Ac6 0.499 0.183 0.316
Ac7 0.501 0.817 0.684
Ac8 0.868 0.183 0.684
Ac9 0.817 0.316 0.132
Ac10 0.183 0.316 0.499
Ac11 0.817 0.684 0.501
Ac12 0.183 0.684 0.868
La1 0.000 0.000 0.000
Ni1 0.383 0.500 0.883
Ni2 0.617 0.500 0.117
Ni3 0.500 0.883 0.383
Ni4 0.500 0.117 0.617
Ni5 0.883 0.383 0.500
Ni6 0.117 0.617 0.500

Properties
Uncorrected energy   -4.844 eV per atom
Density of states at the Fermi level   21.6 states/eV per cell

=====

VASP calculation (GGA-PBE) on a relaxed Ba2As2S5 crystal.

a = 9.407 Å, b = 12.101 Å, c = 17.724 Å
α = 90.00°, β = 90.00°, γ = 90.00°
Atoms (fractional coordinates):
Ba1 0.004 0.980 0.428
Ba2 0.996 0.480 0.572
Ba3 0.996 0.980 0.928
Ba4 0.004 0.480 0.072
Ba5 0.499 0.823 0.176
Ba6 0.501 0.323 0.824
Ba7 0.501 0.823 0.676
Ba8 0.499 0.323 0.324
Ba9 0.985 0.833 0.179
Ba10 0.015 0.333 0.821
Ba11 0.015 0.833 0.679
Ba12 0.985 0.333 0.321
Ba13 0.502 0.990 0.423
Ba14 0.498 0.490 0.577
Ba15 0.498 0.990 0.923
Ba16 0.502 0.490 0.077
As1 0.279 0.750 0.507
As2 0.721 0.250 0.493
As3 0.721 0.750 0.007
As4 0.279 0.250 0.993
As5 0.269 0.562 0.240
As6 0.731 0.062 0.760
As7 0.731 0.562 0.740
As8 0.269 0.062 0.260
As9 0.775 0.681 0.370
As10 0.225 0.181 0.630
As11 0.225 0.681 0.870
As12 0.775 0.181 0.130
As13 0.139 0.140 0.125
As14 0.861 0.640 0.875
As15 0.861 0.140 0.625
As16 0.139 0.640 0.375
S1 0.202 0.476 0.426
S2 0.798 0.976 0.574
S3 0.798 0.476 0.926
S4 0.202 0.976 0.074
S5 0.953 0.208 0.040
S6 0.047 0.708 0.960
S7 0.047 0.208 0.540
S8 0.953 0.708 0.460
S9 0.948 0.601 0.289
S10 0.052 0.101 0.711
S11 0.052 0.601 0.789
S12 0.948 0.101 0.211
S13 0.239 0.156 0.883
S14 0.761 0.656 0.117
S15 0.761 0.156 0.383
S16 0.239 0.656 0.617
S17 0.241 0.385 0.198
S18 0.233 0.658 0.133
S19 0.759 0.885 0.802
S20 0.241 0.885 0.302
S21 0.516 0.242 0.000
S22 0.484 0.742 0.000
S23 0.484 0.242 0.500
S24 0.516 0.742 0.500
S25 0.756 0.352 0.180
S26 0.244 0.852 0.820
S27 0.244 0.352 0.680
S28 0.756 0.852 0.320
S29 0.250 0.426 0.949
S30 0.750 0.926 0.051
S31 0.750 0.426 0.449
S32 0.250 0.926 0.551
S33 0.505 0.072 0.246
S34 0.495 0.572 0.754
S35 0.495 0.072 0.746
S36 0.505 0.572 0.254
S37 0.233 0.158 0.367
S38 0.767 0.658 0.633
S39 0.767 0.158 0.867
S40 0.759 0.385 0.698

Properties
Raw formation energy   -9.87 eV per formula unit
Energy above the lowest structure with this stoichiometry   0 meV/atom

=====

VASP calculation (GGA-PBE) on a relaxed Dy4TlFe crystal.

a = 6.067 Å, b = 9.094 Å, c = 7.730 Å
α = 115.77°, β = 99.35°, γ = 113.02°
Atoms (fractional coordinates):
Dy1 0.092 0.198 0.843
Dy2 0.776 0.732 0.676
Dy3 0.251 0.645 0.843
Dy4 0.400 0.944 0.676
Dy5 0.600 0.056 0.324
Dy6 0.749 0.355 0.157
Dy7 0.224 0.268 0.324
Dy8 0.908 0.802 0.157
Tl1 0.376 0.626 0.252
Tl2 0.624 0.374 0.748
Fe1 0.249 0.999 0.999
Fe2 0.751 0.001 0.001

Properties
Uncorrected energy   -5.027 eV per atom
Density of states at the Fermi level   12.8 states/eV per cell